[1]
{"formula": "TlInPb2", "functional": "PBEsol", "state": "optimized geometry", "cell": [[3.305, -0.047, 0.000], [-1.218, 3.073, 0.000], [0.000, 0.000, 11.242]], "species": ["Tl", "In", "Pb", "Pb"], "fractional_positions": [[0.000, 0.000, 0.494], [0.500, 0.500, 0.251], [0.500, 0.500, 0.750], [0.000, 0.000, 0.005]], "polymorph_energy_mev_per_atom": 29, "sg": "No. 35", "e_form_ev_per_atom": 0.030}

[2]
{"formula": "TlInPb2", "functional": "PBEsol", "state": "optimized geometry", "cell": [[3.479, 0.000, 0.206], [0.000, 4.670, 0.000], [-0.413, 0.000, 6.920]], "species": ["In", "Tl", "Pb", "Pb"], "fractional_positions": [[0.500, 0.500, 0.500], [0.500, 0.500, 0.000], [0.999, 0.000, 0.742], [0.001, 0.000, 0.258]], "polymorph_energy_mev_per_atom": 5, "sg": "No. 47", "e_form_ev_per_atom": 0.005}

no.,theoretical density (Mg/m³)
1,10.73
2,10.80